No. 1
A geometry-optimized FeIr2Se structure. Source: Alexandria, functional GGA-PBE.

Output
- Formation energy (no corrections): 27.3 kJ/mol of atoms

Lattice parameters (Å, degrees): 2.910 2.910 6.959 90.00 90.00 90.00
Atoms (fractional coordinates):
Fe: 0.000 0.000 0.000
Ir: 0.500 0.500 0.238
Ir: 0.500 0.500 0.762
Se: 0.000 0.000 0.500


No. 2
A geometry-optimized Nd3MgTl4 structure. Source: Alexandria, functional GGA-PBE.

Output
- E above lowest polymorph: 95 meV per atom
- Calculated formation energy: -0.212 eV per atom

Lattice parameters (Å, degrees): 8.635 8.635 8.635 155.59 112.78 72.68
Atoms (fractional coordinates):
Nd: 0.000 0.000 0.000
Nd: 0.280 0.780 0.500
Nd: 0.720 0.220 0.500
Mg: 0.500 0.500 0.000
Tl: 0.120 0.377 0.743
Tl: 0.366 0.623 0.743
Tl: 0.634 0.377 0.257
Tl: 0.880 0.623 0.257


No. 3
A geometry-optimized BaSnClO2 structure. Source: Alexandria, functional GGA-PBE.

Output
- Formation energy (no corrections): -190.7 kJ/mol of atoms

Lattice parameters (Å, degrees): 7.243 7.243 5.783 90.00 90.00 131.54
Atoms (fractional coordinates):
Ba: 0.126 0.874 0.750
Ba: 0.874 0.126 0.250
Sn: 0.443 0.557 0.750
Sn: 0.557 0.443 0.250
Cl: 0.252 0.748 0.250
Cl: 0.748 0.252 0.750
O: 0.276 0.276 0.000
O: 0.276 0.276 0.500
O: 0.724 0.724 0.000
O: 0.724 0.724 0.500


No. 4
A geometry-optimized SrRuW2 structure. Source: Alexandria, functional GGA-PBE.

Output
- E above lowest polymorph: 198 meV per atom
- Calculated formation energy: 0.861 eV per atom

Lattice parameters (Å, degrees): 10.325 10.325 10.325 16.07 16.07 16.07
Atoms (fractional coordinates):
Sr: 0.000 0.000 0.000
Ru: 0.758 0.758 0.758
W: 0.238 0.238 0.238
W: 0.492 0.492 0.492


No. 5
A geometry-optimized MgInF3 structure. Source: Alexandria, functional GGA-PBE.

Output
- Formation energy (no corrections): -266.3 kJ/mol of atoms

Lattice parameters (Å, degrees): 5.462 5.462 8.398 100.00 100.00 42.56
Atoms (fractional coordinates):
Mg: 0.134 0.134 0.432
Mg: 0.866 0.866 0.568
In: 0.375 0.375 0.141
In: 0.625 0.625 0.859
F: 0.066 0.066 0.648
F: 0.171 0.171 0.213
F: 0.335 0.335 0.539
F: 0.665 0.665 0.461
F: 0.829 0.829 0.787
F: 0.934 0.934 0.352


No. 6
A geometry-optimized ScZn8Au6 structure. Source: Alexandria, functional GGA-PBE.

Output
- Calculated formation energy: -0.250 eV per atom

Lattice parameters (Å, degrees): 6.990 6.990 6.990 66.63 66.63 66.63
Atoms (fractional coordinates):
Sc: 0.000 0.000 0.000
Zn: 0.117 0.440 0.799
Zn: 0.201 0.883 0.560
Zn: 0.329 0.329 0.329
Zn: 0.440 0.799 0.117
Zn: 0.560 0.201 0.883
Zn: 0.671 0.671 0.671
Zn: 0.799 0.117 0.440
Zn: 0.883 0.560 0.201
Au: 0.060 0.710 0.397
Au: 0.290 0.603 0.940
Au: 0.397 0.060 0.710
Au: 0.603 0.940 0.290
Au: 0.710 0.397 0.060
Au: 0.940 0.290 0.603


No. 7
A geometry-optimized SnSbP structure. Source: Alexandria, functional GGA-PBE.

Output
- Formation energy (no corrections): 8.1 kJ/mol of atoms
- E above lowest polymorph: 27 meV per atom

Lattice parameters (Å, degrees): 6.432 4.163 6.973 90.00 109.93 90.00
Atoms (fractional coordinates):
Sn: 0.000 0.000 0.000
Sn: 0.160 0.000 0.465
Sb: 0.460 0.000 0.978
Sb: 0.493 0.500 0.278
P: 0.809 0.500 0.778
P: 0.908 0.500 0.505


No. 8
A geometry-optimized BaYCdPb structure. Source: Alexandria, functional GGA-PBE.

Output
- Calculated formation energy: -0.325 eV per atom

Lattice parameters (Å, degrees): 5.703 5.703 5.703 60.00 60.00 60.00
Atoms (fractional coordinates):
Ba: 0.000 0.000 0.000
Y: 0.500 0.500 0.500
Cd: 0.750 0.750 0.750
Pb: 0.250 0.250 0.250


No. 9
A geometry-optimized LiPm2ThHg4 structure. Source: Alexandria, functional GGA-PBE.

Output
- Calculated formation energy: -0.369 eV per atom

Lattice parameters (Å, degrees): 9.416 9.416 9.416 32.15 32.15 32.15
Atoms (fractional coordinates):
Li: 0.000 0.000 0.000
Pm: 0.256 0.256 0.256
Pm: 0.744 0.744 0.744
Th: 0.500 0.500 0.500
Hg: 0.121 0.121 0.121
Hg: 0.372 0.372 0.372
Hg: 0.628 0.628 0.628
Hg: 0.879 0.879 0.879